[1]
Entry from the Alexandria database: a geometry-optimized CaHf3Zn structure (PBE).

POSCAR file:
```
CaHf3Zn
1.0
5.0816 0.0000 0.0000
0.0000 5.0816 0.0000
0.0000 0.0000 5.0816
Zn Hf Ca
1 3 1
Direct
0.0000 0.0000 0.0000
0.0000 0.5000 0.0000
0.0000 0.0000 0.5000
0.5000 0.0000 0.0000
0.5000 0.5000 0.5000
```

Total DFT energy (no corrections) (eV per atom): -5.960
Symmetry: Pm-3m, No. 221
Spin magnetization (μB/f.u.): 1.3
ΔE_f (eV/atom): 0.667
Calculated volume (Å³/f.u.): 131.2
Calculated density (g/cm³): 8.11
Crystal system: cubic

***

[2]
Entry from the Alexandria database: a geometry-optimized CaHfZn4 structure (PBE).

POSCAR file:
```
CaHfZn4
1.0
5.3465 0.0000 0.0000
2.6733 4.6302 0.0000
2.6733 1.5434 4.3654
Zn Hf Ca
4 1 1
Direct
0.6265 0.6265 0.1206
0.6265 0.1206 0.6265
0.6265 0.6265 0.6265
0.1206 0.6265 0.6265
0.0000 0.0000 0.0000
0.2500 0.2500 0.2500
```

Total DFT energy (no corrections) (eV per atom): -2.951
Symmetry: F-43m, No. 216
Spin magnetization (μB/f.u.): 0.0
ΔE_f (eV/atom): -0.109
Calculated volume (Å³/f.u.): 108.1
Calculated density (g/cm³): 7.38
Crystal system: cubic

***

[3]
Entry from the Alexandria database: a geometry-optimized CaHf2Zn structure (PBE).

POSCAR file:
```
CaHf2Zn
1.0
4.1772 0.0000 0.0000
0.0000 4.1772 0.0000
2.0886 2.0886 11.0087
Zn Hf Ca
2 4 2
Direct
0.0000 0.0000 0.0000
0.7500 0.2500 0.5000
0.6415 0.1250 0.2500
0.1085 0.6250 0.2500
0.3750 0.3585 0.7500
0.8750 0.8915 0.7500
0.5000 0.5000 0.0000
0.2500 0.7500 0.5000
```

Total DFT energy (no corrections) (eV per atom): -5.264
Symmetry: I-42d, No. 122
Spin magnetization (μB/f.u.): 0.0
ΔE_f (eV/atom): 0.532
Calculated volume (Å³/f.u.): 96.0
Calculated density (g/cm³): 8.00
Crystal system: tetragonal

***

[4]
Entry from the Alexandria database: a geometry-optimized CaHfZn2 structure (PBE).

POSCAR file:
```
CaHfZn2
1.0
7.5369 0.0000 0.0000
0.0000 7.5369 0.0000
3.7684 3.7684 3.3647
Zn Hf Ca
4 2 2
Direct
0.6499 0.1250 0.2500
0.1001 0.6250 0.2500
0.3750 0.3501 0.7500
0.8750 0.8999 0.7500
0.0000 0.0000 0.0000
0.7500 0.2500 0.5000
0.5000 0.5000 0.0000
0.2500 0.7500 0.5000
```

Total DFT energy (no corrections) (eV per atom): -3.301
Symmetry: I-42d, No. 122
Spin magnetization (μB/f.u.): 0.0
ΔE_f (eV/atom): 0.324
Calculated volume (Å³/f.u.): 95.6
Calculated density (g/cm³): 6.07
Crystal system: tetragonal

***

[5]
Entry from the Alexandria database: a geometry-optimized CaHfZn2 structure (PBE).

POSCAR file:
```
CaHfZn2
1.0
0.0000 3.4582 3.4582
3.4582 0.0000 3.4582
3.4582 3.4582 0.0000
Zn Hf Ca
2 1 1
Direct
0.2500 0.2500 0.2500
0.7500 0.7500 0.7500
0.5000 0.5000 0.5000
0.0000 0.0000 0.0000
```

Total DFT energy (no corrections) (eV per atom): -3.660
Symmetry: Fm-3m, No. 225
Spin magnetization (μB/f.u.): 0.0
ΔE_f (eV/atom): -0.035
Calculated volume (Å³/f.u.): 82.7
Calculated density (g/cm³): 7.01
Crystal system: cubic

***

[6]
Entry from the Alexandria database: a geometry-optimized CaHfZn structure (PBE).

POSCAR file:
```
CaHfZn
1.0
4.6948 0.0026 -0.0013
-2.3501 4.0648 0.0002
2.3487 1.3576 7.7811
Ca Hf Zn
2 2 2
Direct
0.5509 0.9009 0.9035
0.4057 0.3284 0.6214
0.7064 0.4787 0.1704
0.2502 0.7506 0.3545
0.8671 0.0591 0.4289
0.0893 0.1702 0.0961
```

Total DFT energy (no corrections) (eV per atom): -4.357
Symmetry: R-3m, No. 166
Spin magnetization (μB/f.u.): 0.0
ΔE_f (eV/atom): 0.052
Calculated volume (Å³/f.u.): 74.3
Calculated density (g/cm³): 6.35
Crystal system: trigonal

***

[7]
Entry from the Alexandria database: a geometry-optimized CaHf4Zn5 structure (PBE).

POSCAR file:
```
CaHf4Zn5
1.0
-3.0874 1.2709 -0.4236
-0.9459 -2.8217 -1.5717
-4.7412 -6.6107 14.7221
Ca Hf Zn
1 4 5
Direct
0.0000 0.0000 0.0000
0.0000 0.0000 0.2109
0.0000 0.0000 0.4042
0.0000 0.0000 0.5958
0.0000 0.0000 0.7891
0.5000 0.5000 0.1216
0.5000 0.5000 0.3090
0.5000 0.5000 0.5000
0.5000 0.5000 0.6910
0.5000 0.5000 0.8784
```

Total DFT energy (no corrections) (eV per atom): -4.996
Symmetry: P4/mmm, No. 123
Spin magnetization (μB/f.u.): 0.0
ΔE_f (eV/atom): -0.178
Calculated volume (Å³/f.u.): 190.5
Calculated density (g/cm³): 9.42
Crystal system: tetragonal

***

[8]
Entry from the Alexandria database: a geometry-optimized CaHfZn structure (PBE).

POSCAR file:
```
CaHfZn
1.0
7.7755 0.0066 0.0070
-0.7160 3.2556 0.0002
-0.2570 -1.7627 5.7601
Ca Hf Zn
2 2 2
Direct
0.8302 0.7710 0.8224
0.5359 0.8728 0.3189
0.9915 0.6027 0.3224
0.2113 0.3890 0.6758
0.4948 0.1205 0.8554
0.2073 0.0963 0.0939
```

Total DFT energy (no corrections) (eV per atom): -4.340
Symmetry: Cm, No. 8
Spin magnetization (μB/f.u.): 0.0
ΔE_f (eV/atom): 0.070
Calculated volume (Å³/f.u.): 72.9
Calculated density (g/cm³): 6.47
Crystal system: monoclinic

***

[9]
Entry from the Alexandria database: a geometry-optimized CaHfZn2 structure (PBE).

POSCAR file:
```
CaHfZn2
1.0
-2.9367 1.0219 -1.4117
0.9985 -1.2807 -3.0040
-2.9899 -6.2713 1.6800
Zn Hf Ca
2 1 1
Direct
0.0000 0.0000 0.7858
0.0000 0.0000 0.2142
0.5000 0.5000 0.0000
0.5000 0.5000 0.5000
```

Total DFT energy (no corrections) (eV per atom): -3.792
Symmetry: P4/mmm, No. 123
Spin magnetization (μB/f.u.): 0.0
ΔE_f (eV/atom): -0.166
Calculated volume (Å³/f.u.): 83.4
Calculated density (g/cm³): 6.96
Crystal system: tetragonal

***

[10]
Entry from the Alexandria database: a geometry-optimized CaHfZn structure (PBE).

POSCAR file:
```
CaHfZn
1.0
5.2219 0.0010 -0.0056
0.0003 3.2604 0.0001
2.6115 0.0002 8.2649
Ca Hf Zn
2 2 2
Direct
0.9934 0.8156 0.9008
0.6303 0.8156 0.6255
0.6846 0.3162 0.2639
0.1912 0.8162 0.2608
0.1745 0.3157 0.5428
0.4583 0.3158 0.9810
```

Total DFT energy (no corrections) (eV per atom): -4.391
Symmetry: Pm, No. 6
Spin magnetization (μB/f.u.): 0.0
ΔE_f (eV/atom): 0.019
Calculated volume (Å³/f.u.): 70.4
Calculated density (g/cm³): 6.70
Crystal system: monoclinic

***

[11]
Entry from the Alexandria database: a geometry-optimized CaHf3Zn structure (PBE).

POSCAR file:
```
CaHf3Zn
1.0
5.0226 0.0000 0.0000
0.0000 5.0226 0.0000
0.0000 0.0000 5.0226
Zn Hf Ca
1 3 1
Direct
0.5000 0.5000 0.5000
0.0000 0.5000 0.0000
0.0000 0.0000 0.5000
0.5000 0.0000 0.0000
0.0000 0.0000 0.0000
```

Total DFT energy (no corrections) (eV per atom): -4.762
Symmetry: Pm-3m, No. 221
Spin magnetization (μB/f.u.): 0.0
ΔE_f (eV/atom): 1.865
Calculated volume (Å³/f.u.): 126.7
Calculated density (g/cm³): 8.40
Crystal system: cubic

***

[12]
Entry from the Alexandria database: a geometry-optimized CaHfZn structure (PBE).

POSCAR file:
```
CaHfZn
1.0
-1.8000 -4.4011 -0.4044
1.4688 1.7589 2.4771
-11.2133 4.2527 3.6292
Zn Ca Hf
2 2 2
Direct
0.6942 0.3883 0.0000
0.1948 0.3896 0.5000
0.6947 0.3893 0.3370
0.6947 0.3893 0.6630
0.1942 0.3883 0.8744
0.1942 0.3883 0.1256
```

Total DFT energy (no corrections) (eV per atom): -4.333
Symmetry: P4/mmm, No. 123
Spin magnetization (μB/f.u.): 0.0
ΔE_f (eV/atom): 0.077
Calculated volume (Å³/f.u.): 71.3
Calculated density (g/cm³): 6.61
Crystal system: tetragonal

***

Q: Among the records above, which one has the highest total DFT energy (no corrections)?
A: CaHfZn4